Here is an optimized crystal structure of CaLu2O4 from Alexandria via LeMat-Bulk. Energies are from PBE.

## Properties
**Crystal system**: orthorhombic
**Raw formation energy**: -3.454 eV/atom
**M_tot**: 0.00 μB/cell
**E**: -7.865 eV per atom

a = 9.7681 Å, b = 3.2933 Å, c = 11.5850 Å
α = 90.00°, β = 90.00°, γ = 90.00°
Space group Pnma (No. 62)
One atom of each set of equivalent atoms:
Ca  0.2442  0.2500  0.1484
Lu  0.0749  0.2500  0.3864
Lu  0.0786  0.2500  0.8900
O  0.0133  0.7500  0.7856
O  0.0790  0.2500  0.5786
O  0.1284  0.7500  0.0224
O  0.2110  0.7500  0.3214